# 1
Here is a geometry-optimized TbCe2F11 structure from the Alexandria database. Energies are from GGA-PBE.

## Properties
raw formation energy = -3.84 eV/atom

abc: 8.3916 10.4111 11.0061
angles: 90.00 90.00 90.00
With the nearest neighbours (Å) after each atom.
Space group Ibam (No. 72)
Asymmetric unit:
Tb1 0.0000 0.0000 0.2500  8 F 2.31-2.33
Ce1 0.1484 0.3172 0.0000  7 F 2.18-2.32
F1 0.0000 0.5000 0.0000  2 Ce 2.27, 2 F 2.46
F2 0.0939 0.1738 0.1416  1 Ce 2.21, 1 Tb 2.31
F3 0.1259 0.2871 0.5000  2 Ce 2.18-2.32
F4 0.2159 0.0729 0.3632  1 Ce 2.21, 1 Tb 2.33

# 2
Here is a geometry-optimized LiTa2Sb structure from the Alexandria database. Energies are from GGA-PBE.

## Properties
raw formation energy = 0.02 eV/atom

abc: 3.5212 3.5212 5.9972
angles: 90.00 90.00 90.00
With the nearest neighbours (Å) after each atom.
Space group P4mm (No. 99)
Asymmetric unit:
Li1 0.0000 0.0000 0.0000  4 Sb 2.85, 6 Ta 2.88-3.12
Ta1 0.0000 0.0000 0.5195  4 Ta 2.79, 2 Li 2.88-3.12, 4 Sb 3.03
Ta2 0.5000 0.5000 0.7285  4 Ta 2.79, 4 Li 2.98, 2 Sb 2.98-3.02
Sb1 0.5000 0.5000 0.2319  4 Li 2.85, 6 Ta 2.98-3.03

# 3
Here is a geometry-optimized KCr2Pb structure from the Alexandria database. Energies are from GGA-PBE.

## Properties
energy relative to the elements = 0.4675 eV/atom

abc: 3.2605 3.3110 8.6133
angles: 90.00 90.00 90.00
With the nearest neighbours (Å) after each atom.
Space group Pmm2 (No. 25)
Asymmetric unit:
K1 0.0000 0.0000 0.0000  4 K 3.26-3.31, 4 Cr 3.61
Cr1 0.0000 0.0000 0.5637  4 Cr 2.53
Cr2 0.5000 0.5000 0.6790  4 Cr 2.53
Pb1 0.5000 0.5000 0.3303  5 Cr 3.00-3.07, 4 Pb 3.26-3.31

# 4
Here is a geometry-optimized RbPdF3 structure from the Alexandria database. Energies are from GGA-PBE.

## Properties
raw formation energy = -1.85 eV/atom

abc: 6.3053 9.6465 6.7122
angles: 90.00 92.02 90.00
With the nearest neighbours (Å) after each atom.
Space group C2/c (No. 15)
Asymmetric unit:
Rb1 0.0000 0.1528 0.2500  8 F 2.83-3.17
Pd1 0.0000 0.5000 0.0000  4 F 1.98-2.03
F1 0.0000 0.3811 0.7500  2 Pd 2.03
F2 0.2434 0.0913 0.6015  1 Pd 1.98

# 5
Here is a geometry-optimized BaHoClO2 structure from the Alexandria database. Energies are from GGA-PBE.

## Properties
raw formation energy = -2.96 eV/atom

abc: 4.2365 4.2365 6.5862
angles: 90.00 90.00 90.00
With the nearest neighbours (Å) after each atom.
Space group P4mm (No. 99)
Asymmetric unit:
Ba1 0.0000 0.0000 0.0000  4 O 2.60
Ho1 0.5000 0.5000 0.3318  4 O 2.22
Cl1 0.5000 0.5000 0.7431  1 Ho 2.71
O1 0.0000 0.5000 0.2290  2 Ho 2.22

# 6
Here is a geometry-optimized LiSmMg2Ga2 structure from the Alexandria database. Energies are from GGA-PBE.

## Properties
energy relative to the elements = -0.3599 eV/atom

abc: 4.6907 4.6907 6.6184
angles: 90.00 90.00 120.00
With the nearest neighbours (Å) after each atom.
Space group P-3m1 (No. 164)
Asymmetric unit:
Li1 0.0000 0.0000 0.0000  6 Mg 2.96, 6 Ga 3.26, 2 Sm 3.31
Sm1 0.0000 0.0000 0.5000  6 Ga 3.10, 2 Li 3.31, 6 Mg 3.44
Mg1 0.3333 0.6667 0.1794  4 Ga 2.78-3.00, 3 Li 2.96
Ga1 0.3333 0.6667 0.7268  4 Mg 2.78-3.00, 3 Sm 3.10

# 7
Here is a geometry-optimized Na3Th2NpN6 structure from the Alexandria database. Energies are from GGA-PBE.

## Properties
raw formation energy = -0.96 eV/atom

abc: 6.2519 10.8744 6.0761
angles: 90.00 109.47 90.00
With the nearest neighbours (Å) after each atom.
Space group C2/m (No. 12)
Asymmetric unit:
Na1 0.0000 0.0000 0.0000  6 N 2.70-2.89
Na2 0.0000 0.3502 0.0000  4 N 2.59-2.65
Th1 0.0000 0.1671 0.5000  6 N 2.44-2.45
Np1 0.0000 0.5000 0.5000  6 N 2.15-2.16
N1 0.2096 0.3506 0.6855  1 Np 2.15
N2 0.2430 0.5000 0.3162  1 Np 2.16

# 8
Here is a geometry-optimized BeZnN2 structure from the Alexandria database. Energies are from GGA-PBE.

## Properties
raw formation energy = 1.07 eV/atom

abc: 5.1336 5.1336 5.1336
angles: 90.00 90.00 90.00
With the nearest neighbours (Å) after each atom.
Space group Fm-3m (No. 225)
Asymmetric unit:
Be1 0.0000 0.0000 0.0000  8 N 2.22
Zn1 0.0000 0.0000 0.5000  8 N 2.22
N1 0.2500 0.2500 0.2500  4 Be 2.22, 4 Zn 2.22